Record 1
This record from Alexandria via LeMat-Bulk describes Na3Be2PdO6 after structural relaxation. The functional is PBE.

Structure (POSCAR):
```
Na3Be2PdO6
1.0
5.326 0.000 0.000
-2.663 4.613 0.000
0.000 0.000 6.087
Na Be Pd O
3 2 1 6
Direct
0.000 0.000 0.000
0.333 0.667 0.756
0.667 0.333 0.244
0.333 0.667 0.311
0.667 0.333 0.689
0.000 0.000 0.500
0.169 0.338 0.291
0.169 0.831 0.291
0.338 0.169 0.709
0.662 0.831 0.291
0.831 0.169 0.709
0.831 0.662 0.709
```

Computed properties:
**Raw formation energy**: -17.09 eV per formula unit
**Symmetry**: P-3m1

---

Record 2
This record from Alexandria via LeMat-Bulk describes CoAu2S4 after structural relaxation. The functional is PBE.

Structure (POSCAR):
```
CoAu2S4
1.0
-2.103 2.103 7.428
2.103 -2.103 7.428
2.103 2.103 -7.428
Co Au S
1 2 4
Direct
0.000 0.000 0.000
0.336 0.336 0.000
0.664 0.664 0.000
0.000 0.500 0.500
0.175 0.175 0.000
0.500 0.000 0.500
0.825 0.825 0.000
```

Computed properties:
**Raw formation energy**: 3.87 eV per formula unit
**Symmetry**: I4/mmm